# 1
The following is a PBE calculation of Sr2PuPaAs4 after structural relaxation, from the Alexandria database.

Output
**DOS at the Fermi energy**: 14.73 states/eV/cell
**DFT formation energy**: -1.128 eV/atom
**M_tot**: 0.6261 μB/atom
**Raw total energy**: -6.852 eV/atom
**Volume**: 28.22 A^3/atom
**SG**: P2/m

The structure in POSCAR format:
```
Sr2PuPaAs4
1.0
7.411 0.000 0.000
0.000 4.290 0.000
-2.486 0.000 7.101
Sr Pu Pa As
2 1 1 4
Direct
0.000 0.000 0.000 Sr
0.500 0.500 0.000 Sr
0.000 0.500 0.500 Pu
0.500 0.000 0.500 Pa
0.246 0.000 0.716 As
0.269 0.500 0.283 As
0.731 0.500 0.717 As
0.754 0.000 0.284 As
```

# 2
The following is a PBE calculation of Sr3Pu2PaAs6 after structural relaxation, from the Alexandria database.

Output
**DOS at the Fermi energy**: 25.39 states/eV/cell
**DFT formation energy**: -1.103 eV/atom
**M_tot**: 0.7500 μB/atom
**Raw total energy**: -7.029 eV/atom
**Volume**: 28.19 A^3/atom
**SG**: C2/m

The structure in POSCAR format:
```
Sr3Pu2PaAs6
1.0
3.712 -6.429 0.000
3.712 6.429 0.000
-2.474 0.000 7.088
Sr Pu Pa As
3 2 1 6
Direct
0.000 0.000 0.000 Sr
0.332 0.668 0.000 Sr
0.668 0.332 0.000 Sr
0.167 0.833 0.500 Pu
0.833 0.167 0.500 Pu
0.500 0.500 0.500 Pa
0.100 0.428 0.284 As
0.244 0.244 0.716 As
0.428 0.100 0.284 As
0.572 0.900 0.716 As
0.756 0.756 0.284 As
0.900 0.572 0.716 As
```

# 3
The following is a PBE calculation of SrPuPa2As4 after structural relaxation, from the Alexandria database.

Output
**DOS at the Fermi energy**: 16.43 states/eV/cell
**DFT formation energy**: -1.050 eV/atom
**M_tot**: 0.8368 μB/atom
**Raw total energy**: -7.750 eV/atom
**Volume**: 25.92 A^3/atom
**SG**: I-4m2

The structure in POSCAR format:
```
SrPuPa2As4
1.0
-2.954 2.954 5.941
2.954 -2.954 5.941
2.954 2.954 -5.941
Sr Pu Pa As
1 1 2 4
Direct
0.000 0.000 0.000 Sr
0.250 0.750 0.500 Pu
0.500 0.500 0.000 Pa
0.750 0.250 0.500 Pa
0.260 0.260 0.000 As
0.505 0.005 0.500 As
0.740 0.740 0.000 As
0.995 0.495 0.500 As
```

# 4
The following is a PBE calculation of Sr3PuPa3As8 after structural relaxation, from the Alexandria database.

Output
**DOS at the Fermi energy**: 14.63 states/eV/cell
**DFT formation energy**: -0.994 eV/atom
**M_tot**: 0.3446 μB/atom
**Raw total energy**: -6.665 eV/atom
**Volume**: 29.55 A^3/atom
**SG**: R-3m

The structure in POSCAR format:
```
Sr3PuPa3As8
1.0
4.238 2.447 7.125
-4.238 2.447 7.125
0.000 -4.893 7.125
Sr Pu Pa As
3 1 3 8
Direct
0.000 0.500 0.500 Sr
0.500 0.000 0.500 Sr
0.500 0.500 0.000 Sr
0.500 0.500 0.500 Pu
0.000 0.000 0.500 Pa
0.000 0.500 0.000 Pa
0.500 0.000 0.000 Pa
0.226 0.743 0.743 As
0.240 0.240 0.240 As
0.257 0.257 0.774 As
0.257 0.774 0.257 As
0.743 0.226 0.743 As
0.743 0.743 0.226 As
0.760 0.760 0.760 As
0.774 0.257 0.257 As
```

# 5
The following is a PBE calculation of Tb2PuPaAs4 after structural relaxation, from the Alexandria database.

Output
**DOS at the Fermi energy**: 12.58 states/eV/cell
**DFT formation energy**: -1.305 eV/atom
**M_tot**: 0.7186 μB/atom
**Raw total energy**: -7.766 eV/atom
**Volume**: 24.82 A^3/atom
**SG**: P2/m

The structure in POSCAR format:
```
Tb2PuPaAs4
1.0
7.139 0.000 0.000
0.000 4.133 0.000
-2.385 0.000 6.731
Tb Pu Pa As
2 1 1 4
Direct
0.000 0.000 0.000 Tb
0.500 0.500 0.000 Tb
0.000 0.500 0.500 Pu
0.500 0.000 0.500 Pa
0.252 0.000 0.747 As
0.254 0.500 0.253 As
0.746 0.500 0.747 As
0.748 0.000 0.253 As
```

# 6
The following is a PBE calculation of Tb3Pu2PaAs6 after structural relaxation, from the Alexandria database.

Output
**DOS at the Fermi energy**: 25.45 states/eV/cell
**DFT formation energy**: -1.302 eV/atom
**M_tot**: 0.9240 μB/atom
**Raw total energy**: -7.964 eV/atom
**Volume**: 24.96 A^3/atom
**SG**: C2/m

The structure in POSCAR format:
```
Tb3Pu2PaAs6
1.0
3.581 -6.201 0.000
3.581 6.201 0.000
-2.388 0.000 6.743
Tb Pu Pa As
3 2 1 6
Direct
0.000 0.000 0.000 Tb
0.332 0.668 0.000 Tb
0.668 0.332 0.000 Tb
0.166 0.834 0.500 Pu
0.834 0.166 0.500 Pu
0.500 0.500 0.500 Pa
0.089 0.418 0.253 As
0.253 0.253 0.747 As
0.418 0.089 0.253 As
0.582 0.911 0.747 As
0.747 0.747 0.253 As
0.911 0.582 0.747 As
```

# 7
The following is a PBE calculation of TmPuPa2As4 after structural relaxation, from the Alexandria database.

Output
**DOS at the Fermi energy**: 13.15 states/eV/cell
**DFT formation energy**: -1.164 eV/atom
**M_tot**: 0.7244 μB/atom
**Raw total energy**: -8.213 eV/atom
**Volume**: 24.29 A^3/atom
**SG**: P2/m

The structure in POSCAR format:
```
TmPuPa2As4
1.0
7.070 0.000 0.000
0.000 4.103 0.000
-2.382 0.000 6.698
Tm Pu Pa As
1 1 2 4
Direct
0.000 0.000 0.000 Tm
0.000 0.500 0.500 Pu
0.500 0.000 0.500 Pa
0.500 0.500 0.000 Pa
0.250 0.500 0.247 As
0.251 0.000 0.753 As
0.749 0.000 0.247 As
0.750 0.500 0.753 As
```

# 8
The following is a PBE calculation of TmPu2PaAs4 after structural relaxation, from the Alexandria database.

Output
**DOS at the Fermi energy**: 20.31 states/eV/cell
**DFT formation energy**: -1.173 eV/atom
**M_tot**: 1.4023 μB/atom
**Raw total energy**: -8.827 eV/atom
**Volume**: 24.60 A^3/atom
**SG**: P2/m

The structure in POSCAR format:
```
TmPu2PaAs4
1.0
7.115 0.000 0.000
0.000 4.125 0.000
-2.381 0.000 6.706
Tm Pu Pa As
1 2 1 4
Direct
0.000 0.000 0.000 Tm
0.000 0.500 0.500 Pu
0.500 0.000 0.500 Pu
0.500 0.500 0.000 Pa
0.249 0.500 0.245 As
0.251 0.000 0.755 As
0.749 0.000 0.245 As
0.751 0.500 0.755 As
```